A geometry-optimized PIr structure. Source: Alexandria, functional GGA-PBE.

```
4
Lattice="3.924 0.000 0.000 0.000 3.924 0.000 0.000 0.000 5.472" Properties=species:S:1:pos:R:3 pbc="T T T"
Ir 0.981 2.943 0.000
Ir 2.943 0.981 0.000
P 0.981 0.981 1.299
P 2.943 2.943 4.173
```

Space-group type ... No. 129
DFT formation energy ... -0.38 eV/atom